(1)
Computed, not measured: a relaxed In3AuI6 crystal at the GGA-PBE level of DFT.

Calculated values
The value obtained for the total energy is -2.48 eV per atom. As for the crystal system: monoclinic.

a b c (Å): 9.1749 8.4775 12.7488
angles (deg): 90.00 109.35 90.00
Last column: nearest neighbours and their distance in Å.
Fractional positions:
1 In 0.2417 0.0000 0.1911  7 I 3.43-3.78
2 In 0.2448 0.5925 0.4149  4 I 2.76-2.78
3 In 0.2465 0.9572 0.7857  1 Au 2.99
4 In 0.7535 0.4572 0.2143  1 Au 2.99
5 In 0.7552 0.0925 0.5851  4 I 2.76-2.78
6 In 0.7583 0.5000 0.8089  7 I 3.43-3.78
7 Au 0.3485 0.7335 0.9771  2 I 2.59-2.60
8 Au 0.6515 0.2335 0.0229  2 I 2.59-2.60
9 I 0.0028 0.8010 0.3190  1 In 2.78
10 I 0.0689 0.7341 0.9842  1 Au 2.60
11 I 0.1222 0.2928 0.3712  1 In 2.76
12 I 0.3611 0.2421 0.0038  1 Au 2.59
13 I 0.3635 0.6428 0.6422  1 In 2.77
14 I 0.4680 0.6556 0.3184  1 In 2.77
15 I 0.5320 0.1556 0.6816  1 In 2.77
16 I 0.6365 0.1428 0.3578  1 In 2.77
17 I 0.6389 0.7421 0.9962  1 Au 2.59
18 I 0.8778 0.7928 0.6288  1 In 2.76
19 I 0.9311 0.2341 0.0158  1 Au 2.60
20 I 0.9972 0.3010 0.6810  1 In 2.78

(2)
Computed, not measured: a relaxed In4AuI4 crystal at the GGA-PBE level of DFT.

Calculated values
The value obtained for the total energy is -2.66 eV per atom. As for the crystal system: monoclinic.

a b c (Å): 7.8969 7.8969 11.0286
angles (deg): 119.04 119.04 32.93
Last column: nearest neighbours and their distance in Å.
Fractional positions:
1 In 0.0803 0.0803 0.4149  2 Au 2.92
2 In 0.3175 0.3175 0.2245  1 Au 2.89
3 In 0.6825 0.6825 0.7755  1 Au 2.89
4 In 0.9197 0.9197 0.5851  2 Au 2.92
5 Au 0.5000 0.5000 0.5000  6 In 2.89-2.92
6 I 0.1089 0.1089 0.9191  4 In 3.25-3.33
7 I 0.3176 0.3176 0.6979  5 In 3.30-3.42
8 I 0.6824 0.6824 0.3021  5 In 3.30-3.42
9 I 0.8911 0.8911 0.0809  4 In 3.25-3.33

(3)
Computed, not measured: a relaxed InAu2I2 crystal at the GGA-PBE level of DFT.

Calculated values
The value obtained for the total energy is -2.40 eV per atom. As for the crystal system: tetragonal.

a b c (Å): 8.1649 8.1649 4.3359
angles (deg): 90.00 90.00 90.00
Last column: nearest neighbours and their distance in Å.
Fractional positions:
1 In 0.0000 0.0000 0.0000  4 Au 3.27, 8 I 3.63
2 In 0.5000 0.5000 0.0000  4 Au 3.27, 8 I 3.63
3 Au 0.1166 0.3834 0.0000  1 Au 2.69, 2 I 2.92
4 Au 0.3834 0.8834 0.0000  1 Au 2.69, 2 I 2.92
5 Au 0.6166 0.1166 0.0000  1 Au 2.69, 2 I 2.92
6 Au 0.8834 0.6166 0.0000  1 Au 2.69, 2 I 2.92
7 I 0.2135 0.7135 0.5000  2 Au 2.92
8 I 0.2865 0.2135 0.5000  2 Au 2.92
9 I 0.7135 0.7865 0.5000  2 Au 2.92
10 I 0.7865 0.2865 0.5000  2 Au 2.92

(4)
Computed, not measured: a relaxed InAu2I6 crystal at the GGA-PBE level of DFT.

Calculated values
The value obtained for the total energy is -2.28 eV per atom. As for the crystal system: monoclinic.

a b c (Å): 11.1409 11.1409 8.6650
angles (deg): 107.72 107.72 92.50
Last column: nearest neighbours and their distance in Å.
Fractional positions:
1 In 0.1730 0.8270 0.7500  4 I 2.70-2.87
2 In 0.8270 0.1730 0.2500  4 I 2.70-2.87
3 Au 0.2431 0.3168 0.4500  2 I 2.59-2.65
4 Au 0.3168 0.2431 0.9500  2 I 2.59-2.65
5 Au 0.6832 0.7569 0.0500  2 I 2.59-2.65
6 Au 0.7569 0.6832 0.5500  2 I 2.59-2.65
7 I 0.0546 0.1897 0.1629  1 Au 2.65, 1 In 2.87
8 I 0.1429 0.6419 0.4491  1 In 2.70
9 I 0.1897 0.0546 0.6629  1 Au 2.65, 1 In 2.87
10 I 0.3581 0.8571 0.0509  1 In 2.70
11 I 0.3833 0.4044 0.7716  1 Au 2.59
12 I 0.4044 0.3833 0.2716  1 Au 2.59
13 I 0.5956 0.6167 0.7284  1 Au 2.59
14 I 0.6167 0.5956 0.2284  1 Au 2.59
15 I 0.6419 0.1429 0.9491  1 In 2.70
16 I 0.8103 0.9454 0.3371  1 Au 2.65, 1 In 2.87
17 I 0.8571 0.3581 0.5509  1 In 2.70
18 I 0.9454 0.8103 0.8371  1 Au 2.65, 1 In 2.87

(5)
Computed, not measured: a relaxed InAu2I8 crystal at the GGA-PBE level of DFT.

Calculated values
The value obtained for the total energy is -2.09 eV per atom. As for the crystal system: monoclinic.

a b c (Å): 8.5075 8.5075 7.4830
angles (deg): 103.05 103.05 83.89
Last column: nearest neighbours and their distance in Å.
Fractional positions:
1 In 0.0000 0.0000 0.0000  6 I 2.91-3.12
2 Au 0.1677 0.1677 0.6166  3 I 2.63-2.77
3 Au 0.8323 0.8323 0.3834  3 I 2.63-2.77
4 I 0.0852 0.7356 0.1987  1 Au 2.77, 1 In 2.91
5 I 0.2294 0.2294 0.3112  1 Au 2.63
6 I 0.2644 0.9148 0.8013  1 Au 2.77, 1 In 2.91
7 I 0.4085 0.4085 0.8370  1 I 2.81, 1 Au 2.99
8 I 0.5915 0.5915 0.1630  1 I 2.81, 1 Au 2.99
9 I 0.7356 0.0852 0.1987  1 Au 2.77, 1 In 2.91
10 I 0.7706 0.7706 0.6888  1 Au 2.63
11 I 0.9148 0.2644 0.8013  1 Au 2.77, 1 In 2.91

(6)
Computed, not measured: a relaxed InAuI4 crystal at the GGA-PBE level of DFT.

Calculated values
The value obtained for the total energy is -2.29 eV per atom. As for the crystal system: monoclinic.

a b c (Å): 7.8601 4.2947 16.0922
angles (deg): 90.00 117.44 90.00
Last column: nearest neighbours and their distance in Å.
Fractional positions:
1 In 0.0000 0.0000 0.0000  6 I 2.97-3.05
2 In 0.0000 0.5000 0.5000  6 I 2.97-3.05
3 Au 0.5000 0.0000 0.5000  2 I 2.68
4 Au 0.5000 0.5000 0.0000  2 I 2.68
5 I 0.0014 0.0123 0.3694  2 In 2.97-3.05
6 I 0.0014 0.4877 0.8694  2 In 2.97-3.05
7 I 0.4239 0.0984 0.1063  1 Au 2.68, 1 In 2.99
8 I 0.4239 0.4016 0.6063  1 Au 2.68, 1 In 2.99
9 I 0.5761 0.5984 0.3937  1 Au 2.68, 1 In 2.99
10 I 0.5761 0.9016 0.8937  1 Au 2.68, 1 In 2.99
11 I 0.9986 0.5123 0.1306  2 In 2.97-3.05
12 I 0.9986 0.9877 0.6306  2 In 2.97-3.05